This record from Alexandria describes an optimized crystal structure of YWF3. The functional is PBE with a Hubbard U.

a = 4.488 Å, b = 4.488 Å, c = 4.488 Å
α = 90.00°, β = 90.00°, γ = 90.00°
Space group Pm-3m (No. 221)
Symmetry-distinct sites (fractional):
Y 0.000 0.000 0.000
W 0.500 0.500 0.500
F 0.000 0.500 0.500

## Properties
Relative energy among the computed polymorphs ... 0.733 eV per atom
Calculated volume ... 90.4 Å³ per cell
D(E_F) ... 3.29 states/eV/f.u.
Mass density ... 6.06 Mg/m³
VASP energy ... -0.38493 Ry per atom